# 1
This record from Alexandria describes a relaxed structure of KYZr2. The functional is GGA-PBE.

Its calculated formation energy is 0.522 eV per atom. The energy above the most stable polymorph in this dataset comes out at 193 meV/atom. The calculation puts the total energy at -5.64 eV/atom. The calculated density is 4.398 g cm⁻³.

The space group is Cmmm (No. 65) and the conventional cell measures 3.4146, 5.4554 and 12.5842 Å, with angles of 90.00, 90.00 and 90.00 degrees. The inequivalent atoms are K at (0.0000, 0.0000, 0.0000), Y at (0.0000, 0.0000, 0.5000) and Zr at (0.0000, 0.5000, 0.2785).

# 2
This record from Alexandria describes a relaxed structure of KY2Zr. The functional is GGA-PBE.

Its calculated formation energy is 0.268 eV per atom. The energy above the most stable polymorph in this dataset comes out at 33 meV/atom. The calculation puts the total energy at -5.38 eV/atom. The calculated density is 3.805 g cm⁻³.

The space group is R-3m (No. 166, hexagonal axes) and the conventional cell measures 3.5057, 3.5057 and 37.9076 Å, with angles of 90.00, 90.00 and 120.00 degrees. The inequivalent atoms are K at (0.0000, 0.0000, 0.0000), Y at (0.0000, 0.0000, 0.2354) and Zr at (0.0000, 0.0000, 0.5000).

# 3
This record from Alexandria describes a relaxed structure of KY2Zr. The functional is GGA-PBE.

Its calculated formation energy is 0.516 eV per atom. The energy above the most stable polymorph in this dataset comes out at 281 meV/atom. The calculation puts the total energy at -5.13 eV/atom. The calculated density is 3.620 g cm⁻³.

The space group is C2/m (No. 12) and the conventional cell measures 10.6823, 3.3480 and 7.9344 Å, with angles of 90.00, 95.06 and 90.00 degrees. The inequivalent atoms are K at (0.0000, 0.0000, 0.0000), Y at (0.2344, 0.0000, 0.6825) and Zr at (0.0000, 0.5000, 0.5000).

# 4
This record from Alexandria describes a relaxed structure of KY2Zr. The functional is GGA-PBE.

Its calculated formation energy is 0.619 eV per atom. The energy above the most stable polymorph in this dataset comes out at 384 meV/atom. The calculation puts the total energy at -5.02 eV/atom. The calculated density is 4.037 g cm⁻³.

The space group is P4/mmm (No. 123) and the conventional cell measures 5.9936, 5.9936 and 3.5281 Å, with angles of 90.00, 90.00 and 90.00 degrees. The inequivalent atoms are K at (0.0000, 0.0000, 0.0000), Y at (0.0000, 0.5000, 0.5000) and Zr at (0.5000, 0.5000, 0.0000).